# PBE-GGA RbTcSn2Pb, relaxed
data_RbTcSn2Pb
_chemical_formula_sum 'Rb1 Tc1 Sn2 Pb1'
_cell_length_a 6.2969
_cell_length_b 6.2969
_cell_length_c 6.3189
_cell_angle_alpha 90.00
_cell_angle_beta 90.00
_cell_angle_gamma 90.00
_space_group_name_H-M_alt 'P 4/m m m'
_space_group_IT_number 123
_space_group_name_Hall '-P 4 2'
loop_
_atom_site_label
_atom_site_type_symbol
_atom_site_fract_x
_atom_site_fract_y
_atom_site_fract_z
Rb1 Rb 0.0000 0.0000 0.0000
Tc1 Tc 0.5000 0.5000 0.5000
Sn1 Sn 0.0000 0.5000 0.0000
Pb1 Pb 0.0000 0.0000 0.5000
# Spin magnetization in μB/f.u.: 4.10
# E_tot in eV per formula unit: -12.6
# Formation energy in eV per atom: 2.097
# Crystal system: tetragonal